TaZn SCAN PBEsol geometry; spin magnetization = 0.00 μB per formula unit; formation energy from the elements = 0.168 eV per atom; space-group type = P4/nmm
1.0
3.398 0.000 0.000
0.000 3.398 0.000
0.000 0.000 5.639
Ta Zn
2 2
Cartesian
0.849 0.849 0.651
2.548 2.548 4.989
0.849 0.849 3.480
2.548 2.548 2.160


Ta3Zn SCAN PBEsol geometry; spin magnetization = 0.01 μB per formula unit; formation energy from the elements = 2.615 eV per atom; space-group type = Pm-3m
1.0
4.690 0.000 0.000
0.000 4.690 0.000
0.000 0.000 4.690
Ta Zn
3 1
Cartesian
0.000 0.000 2.345
0.000 2.345 0.000
2.345 0.000 0.000
0.000 0.000 0.000


Look up the formation energy from the elements of the first one.
0.168 eV per atom


spin magnetization of number 1 (TaZn)?
0.00 μB per formula unit